Entry 1:
{"formula": "TbUCN", "functional": "PBE-GGA", "state": "optimized geometry", "raw_formation_energy_mev_per_atom": -885, "lattice": [[3.5215, 0.0000, 0.0000], [-1.7608, 3.0497, 0.0000], [0.0000, 0.0000, 17.0489]], "species": ["Tb", "Tb", "Tb", "U", "U", "U", "C", "C", "C", "N", "N", "N"], "fractional_positions": [[0.0000, 0.0000, 0.0000], [0.3333, 0.6667, 0.6667], [0.6667, 0.3333, 0.3333], [0.0000, 0.0000, 0.5017], [0.3333, 0.6667, 0.1684], [0.6667, 0.3333, 0.8351], [0.0000, 0.0000, 0.7625], [0.3333, 0.6667, 0.4291], [0.6667, 0.3333, 0.0958], [0.0000, 0.0000, 0.2409], [0.3333, 0.6667, 0.9076], [0.6667, 0.3333, 0.5743]]}

Entry 2:
{"formula": "Rb12Te3Br5", "functional": "PBE-GGA", "state": "optimized geometry", "raw_formation_energy_mev_per_atom": -1247, "lattice": [[-10.3191, 10.3191, 10.3191], [10.3191, -10.3191, 10.3191], [10.3191, 10.3191, -10.3191]], "species": ["Rb", "Rb", "Rb", "Rb", "Rb", "Rb", "Rb", "Rb", "Rb", "Rb", "Rb", "Rb", "Rb", "Rb", "Rb", "Rb", "Rb", "Rb", "Rb", "Rb", "Rb", "Rb", "Rb", "Rb", "Rb", "Rb", "Rb", "Rb", "Rb", "Rb", "Rb", "Rb", "Rb", "Rb", "Rb", "Rb", "Rb", "Rb", "Rb", "Rb", "Rb", "Rb", "Rb", "Rb", "Rb", "Rb", "Rb", "Rb", "Te", "Te", "Te", "Te", "Te", "Te", "Te", "Te", "Te", "Te", "Te", "Te", "Br", "Br", "Br", "Br", "Br", "Br", "Br", "Br", "Br", "Br", "Br", "Br", "Br", "Br", "Br", "Br", "Br", "Br", "Br", "Br"], "fractional_positions": [[0.0507, 0.2231, 0.1367], [0.0507, 0.3275, 0.9139], [0.0861, 0.6367, 0.4136], [0.0864, 0.7231, 0.6725], [0.0864, 0.8633, 0.4139], [0.0861, 0.9493, 0.6725], [0.1367, 0.0507, 0.2231], [0.1367, 0.5861, 0.9136], [0.1725, 0.2231, 0.5864], [0.1725, 0.4493, 0.5861], [0.2231, 0.1367, 0.0507], [0.2231, 0.5864, 0.1725], [0.2769, 0.3275, 0.9136], [0.2769, 0.4493, 0.3633], [0.3275, 0.9139, 0.0507], [0.3275, 0.9136, 0.2769], [0.3633, 0.2769, 0.4493], [0.3633, 0.5864, 0.9139], [0.4136, 0.0861, 0.6367], [0.4139, 0.0864, 0.8633], [0.4139, 0.8275, 0.5507], [0.4136, 0.8275, 0.7769], [0.4493, 0.3633, 0.2769], [0.4493, 0.5861, 0.1725], [0.5507, 0.4139, 0.8275], [0.5507, 0.6367, 0.7231], [0.5864, 0.1725, 0.2231], [0.5861, 0.1725, 0.4493], [0.5861, 0.9136, 0.1367], [0.5864, 0.9139, 0.3633], [0.6367, 0.4136, 0.0861], [0.6367, 0.7231, 0.5507], [0.6725, 0.0864, 0.7231], [0.6725, 0.0861, 0.9493], [0.7231, 0.5507, 0.6367], [0.7231, 0.6725, 0.0864], [0.7769, 0.4136, 0.8275], [0.7769, 0.8633, 0.9493], [0.8275, 0.5507, 0.4139], [0.8275, 0.7769, 0.4136], [0.8633, 0.4139, 0.0864], [0.8633, 0.9493, 0.7769], [0.9139, 0.0507, 0.3275], [0.9136, 0.1367, 0.5861], [0.9136, 0.2769, 0.3275], [0.9139, 0.3633, 0.5864], [0.9493, 0.6725, 0.0861], [0.9493, 0.7769, 0.8633], [0.1250, 0.2500, 0.3750], [0.1250, 0.3750, 0.7500], [0.2500, 0.3750, 0.1250], [0.2500, 0.8750, 0.6250], [0.3750, 0.1250, 0.2500], [0.3750, 0.7500, 0.1250], [0.6250, 0.2500, 0.8750], [0.6250, 0.8750, 0.7500], [0.7500, 0.1250, 0.3750], [0.7500, 0.6250, 0.8750], [0.8750, 0.6250, 0.2500], [0.8750, 0.7500, 0.6250], [0.0000, 0.0000, 0.0000], [0.0000, 0.0000, 0.5000], [0.0000, 0.5000, 0.0000], [0.0000, 0.5000, 0.5000], [0.1250, 0.7500, 0.8750], [0.1250, 0.8750, 0.2500], [0.2500, 0.1250, 0.8750], [0.2500, 0.6250, 0.3750], [0.3750, 0.2500, 0.6250], [0.3750, 0.6250, 0.7500], [0.5000, 0.0000, 0.0000], [0.5000, 0.0000, 0.5000], [0.5000, 0.5000, 0.0000], [0.5000, 0.5000, 0.5000], [0.6250, 0.3750, 0.2500], [0.6250, 0.7500, 0.3750], [0.7500, 0.3750, 0.6250], [0.7500, 0.8750, 0.1250], [0.8750, 0.1250, 0.7500], [0.8750, 0.2500, 0.1250]]}

Entry 3:
{"formula": "RbEuMg4", "functional": "PBE-GGA", "state": "optimized geometry", "e_form_mev_per_atom": 89.5, "lattice": [[0.0000, 4.6074, 4.6074], [4.6074, 0.0000, 4.6074], [4.6074, 4.6074, 0.0000]], "species": ["Rb", "Eu", "Mg", "Mg", "Mg", "Mg"], "fractional_positions": [[0.0000, 0.0000, 0.0000], [0.2500, 0.2500, 0.2500], [0.1284, 0.6239, 0.6239], [0.6239, 0.1284, 0.6239], [0.6239, 0.6239, 0.1284], [0.6239, 0.6239, 0.6239]]}

Entry 4:
{"formula": "LiAg2BiPd", "functional": "PBE-GGA", "state": "optimized geometry", "e_form_mev_per_atom": 347.1, "lattice": [[4.5209, 0.0000, 0.0000], [0.0000, 4.5209, 0.0000], [0.0000, 0.0000, 4.8848]], "species": ["Li", "Ag", "Ag", "Bi", "Pd"], "fractional_positions": [[0.0000, 0.0000, 0.0000], [0.0000, 0.5000, 0.0000], [0.5000, 0.0000, 0.0000], [0.0000, 0.0000, 0.5000], [0.5000, 0.5000, 0.5000]]}

Entry 5:
{"formula": "InSn2SbAu4", "functional": "PBE-GGA", "state": "optimized geometry", "raw_formation_energy_mev_per_atom": -122, "lattice": [[0.0000, 5.6810, 4.0986], [4.0986, 0.0000, 4.0986], [4.0986, 5.6810, 0.0000]], "species": ["In", "Sn", "Sn", "Sb", "Au", "Au", "Au", "Au"], "fractional_positions": [[0.0000, 0.0000, 0.0000], [0.2533, 0.2533, 0.2467], [0.7533, 0.7533, 0.7467], [0.5025, 0.5025, 0.4975], [0.0026, 0.5004, 0.9974], [0.2517, 0.7549, 0.2451], [0.5004, 0.0026, 0.4996], [0.7549, 0.2517, 0.7483]]}

Entry 6:
{"formula": "Th3GeC", "functional": "PBE-GGA", "state": "optimized geometry", "e_form_mev_per_atom": -430.0, "lattice": [[7.6113, 0.0000, 0.0000], [0.0000, 3.9541, 0.0000], [-1.1178, 0.0000, 8.3452]], "species": ["Th", "Th", "Th", "Th", "Th", "Th", "Ge", "Ge", "C", "C"], "fractional_positions": [[0.0664, 0.2500, 0.3328], [0.2791, 0.2500, 0.9356], [0.3805, 0.7500, 0.6148], [0.6195, 0.2500, 0.3852], [0.7209, 0.7500, 0.0644], [0.9336, 0.7500, 0.6672], [0.3520, 0.7500, 0.2158], [0.6480, 0.2500, 0.7842], [0.1520, 0.2500, 0.6358], [0.8480, 0.7500, 0.3642]]}

Entry 7:
{"formula": "K2SiAg", "functional": "PBE-GGA", "state": "optimized geometry", "raw_formation_energy_mev_per_atom": 223, "lattice": [[3.6455, 0.0000, 0.0000], [0.0000, 3.6455, 0.0000], [0.0000, 0.0000, 10.0421]], "species": ["K", "K", "Si", "Ag"], "fractional_positions": [[0.0000, 0.0000, 0.0000], [0.5000, 0.5000, 0.4048], [0.0000, 0.0000, 0.6578], [0.5000, 0.5000, 0.7344]]}

Entry 8:
{"formula": "Sb4OsW2", "functional": "PBE-GGA", "state": "optimized geometry", "raw_formation_energy_mev_per_atom": 1169, "lattice": [[5.2233, 0.0000, 0.0000], [0.0000, 5.2233, 0.0000], [0.0000, 0.0000, 13.1645]], "species": ["Sb", "Sb", "Sb", "Sb", "Sb", "Sb", "Sb", "Sb", "Os", "Os", "W", "W", "W", "W"], "fractional_positions": [[0.0000, 0.0000, 0.2031], [0.0000, 0.0000, 0.7969], [0.0000, 0.5000, 0.0000], [0.0000, 0.5000, 0.5000], [0.5000, 0.0000, 0.0000], [0.5000, 0.0000, 0.5000], [0.5000, 0.5000, 0.2969], [0.5000, 0.5000, 0.7031], [0.0000, 0.0000, 0.0000], [0.5000, 0.5000, 0.5000], [0.0000, 0.0000, 0.4066], [0.0000, 0.0000, 0.5934], [0.5000, 0.5000, 0.0934], [0.5000, 0.5000, 0.9066]]}

Entry 9:
{"formula": "KCd3Tc", "functional": "PBE-GGA", "state": "optimized geometry", "relative_energy_mev_per_atom": 1150, "e_form_mev_per_atom": 1590.2, "lattice": [[6.0344, 0.0000, 0.0000], [0.0000, 6.0344, 0.0000], [0.0000, 0.0000, 6.0344]], "species": ["K", "Cd", "Cd", "Cd", "Tc"], "fractional_positions": [[0.0000, 0.0000, 0.0000], [0.0000, 0.0000, 0.5000], [0.0000, 0.5000, 0.0000], [0.5000, 0.0000, 0.0000], [0.5000, 0.5000, 0.5000]]}

Entry 10:
{"formula": "CsC2I3N2", "functional": "PBE-GGA", "state": "optimized geometry", "raw_formation_energy_mev_per_atom": 11, "lattice": [[7.5478, 0.0000, 0.0000], [0.0000, 16.6167, 0.0000], [0.0000, 0.0000, 4.7927]], "species": ["Cs", "Cs", "C", "C", "C", "C", "I", "I", "I", "I", "I", "I", "N", "N", "N", "N"], "fractional_positions": [[0.2500, 0.2500, 0.1729], [0.7500, 0.7500, 0.8271], [0.2500, 0.0472, 0.7268], [0.2500, 0.4528, 0.7268], [0.7500, 0.5472, 0.2732], [0.7500, 0.9528, 0.2732], [0.2500, 0.5707, 0.8631], [0.2500, 0.7500, 0.1255], [0.2500, 0.9293, 0.8631], [0.7500, 0.0707, 0.1369], [0.7500, 0.2500, 0.8745], [0.7500, 0.4293, 0.1369], [0.2500, 0.1149, 0.6569], [0.2500, 0.3851, 0.6569], [0.7500, 0.6149, 0.3431], [0.7500, 0.8851, 0.3431]]}

Entry 11:
{"formula": "Th2SbH3", "functional": "PBE-GGA", "state": "optimized geometry", "dft_energy_ev_per_atom": -5.43, "lattice": [[7.6864, -1.9855, 0.0000], [7.6864, 1.9855, 0.0000], [-2.9549, 0.0000, 6.8088]], "species": ["Th", "Th", "Th", "Th", "Sb", "Sb", "H", "H", "H", "H", "H", "H"], "fractional_positions": [[0.0226, 0.0226, 0.2639], [0.2961, 0.2961, 0.2969], [0.7039, 0.7039, 0.7031], [0.9774, 0.9774, 0.7361], [0.3709, 0.3709, 0.9494], [0.6291, 0.6291, 0.0506], [0.1071, 0.1071, 0.6448], [0.1931, 0.1931, 0.4797], [0.4191, 0.4191, 0.5858], [0.5809, 0.5809, 0.4142], [0.8069, 0.8069, 0.5203], [0.8929, 0.8929, 0.3552]]}

Entry 12:
{"formula": "MnSbRu2", "functional": "PBE-GGA", "state": "optimized geometry", "raw_formation_energy_mev_per_atom": -41, "lattice": [[4.3537, 0.0000, 0.0000], [0.0000, 4.3537, 0.0000], [0.0000, 0.0000, 3.2291]], "species": ["Mn", "Sb", "Ru", "Ru"], "fractional_positions": [[0.0000, 0.0000, 0.0000], [0.5000, 0.5000, 0.0000], [0.0000, 0.5000, 0.5000], [0.5000, 0.0000, 0.5000]]}